Record 1
# FeWBr2, optimized geometry, DFT PBE
data_FeWBr2
_cell_length_a 2.987
_cell_length_b 4.422
_cell_length_c 5.824
_cell_angle_alpha 90.00
_cell_angle_beta 90.00
_cell_angle_gamma 90.00
_space_group_name_H-M_alt 'P m m m'
_space_group_IT_number 47
loop_
_space_group_symop_operation_xyz
'x,y,z'
'-x,-y,-z'
'-x,-y,z'
'x,y,-z'
'x,-y,-z'
'-x,y,z'
'-x,y,-z'
'x,-y,z'
loop_
_atom_site_label
_atom_site_type_symbol
_atom_site_fract_x
_atom_site_fract_y
_atom_site_fract_z
Fe1 Fe 0.000 0.000 0.000
W1 W 0.500 0.000 0.500
Br1 Br 0.000 0.500 0.500
Br2 Br 0.500 0.500 0.000
# Electronic total energy: -5.034 eV/atom
# Size of the total moment: 3.79 μB/f.u.

Record 2
# FeWBr2, optimized geometry, DFT PBE
data_FeWBr2
_cell_length_a 6.787
_cell_length_b 6.787
_cell_length_c 6.787
_cell_angle_alpha 90.00
_cell_angle_beta 90.00
_cell_angle_gamma 90.00
_space_group_name_H-M_alt 'F -4 3 m'
_space_group_IT_number 216
_space_group_name_Hall 'F -4 2 3'
loop_
_atom_site_label
_atom_site_type_symbol
_atom_site_fract_x
_atom_site_fract_y
_atom_site_fract_z
Fe1 Fe 0.000 0.000 0.000
W1 W 0.250 0.250 0.250
Br1 Br 0.000 0.000 0.500
Br2 Br 0.250 0.250 0.750
# Electronic total energy: -4.792 eV/atom
# Size of the total moment: 0.06 μB/f.u.